Record 1
First-principles (PBE) data for a geometry-optimized CsMgPb structure, as listed in Alexandria via LeMat-Bulk.

a = 4.1704 Å, b = 4.1704 Å, c = 7.6941 Å
α = 105.72°, β = 105.72°, γ = 90.00°
With the nearest neighbours (Å) after each atom.
Element x y z (fractional)
Cs  0.0050  0.0050  0.0099  1 Mg 3.86, 5 Pb 4.07-4.23, 4 Cs 4.17
Mg  0.2762  0.2762  0.5524  4 Pb 3.06
Pb  0.7188  0.7188  0.4377  4 Mg 3.06

Calculated values
- excess energy over the best structure of this formula in the dataset (kJ/mol of atoms) = 14.2
- formation energy from the elements (kJ/mol of formula units) = 4
- crystal system = tetragonal

***

Record 2
First-principles (PBE) data for a geometry-optimized Pr4Y4Ho5 structure, as listed in Alexandria via LeMat-Bulk.

a = 5.0751 Å, b = 9.5322 Å, c = 9.5322 Å
α = 85.94°, β = 74.56°, γ = 74.56°
With the nearest neighbours (Å) after each atom.
Element x y z (fractional)
Y  0.8474  0.9242  0.3809  4 Pr 3.57-3.61, 6 Ho 3.57-3.66, 2 Y 3.63
Y  0.1526  0.0758  0.6191  4 Pr 3.57-3.61, 6 Ho 3.57-3.66, 2 Y 3.63
Y  0.7716  0.3809  0.0758  4 Pr 3.57-3.61, 6 Ho 3.57-3.66, 2 Y 3.63
Y  0.2284  0.6191  0.9242  4 Pr 3.57-3.61, 6 Ho 3.57-3.66, 2 Y 3.63
Ho  0.0000  0.0000  0.0000  8 Ho 3.56, 4 Y 3.57
Ho  0.3115  0.1497  0.2273  4 Ho 3.54-3.56, 5 Y 3.57-3.66, 3 Pr 3.61-3.65
Ho  0.5388  0.7727  0.1497  4 Ho 3.54-3.56, 5 Y 3.57-3.66, 3 Pr 3.61-3.65
Ho  0.4612  0.2273  0.8503  4 Ho 3.54-3.56, 5 Y 3.57-3.66, 3 Pr 3.61-3.65
Ho  0.6885  0.8503  0.7727  4 Ho 3.54-3.56, 5 Y 3.57-3.66, 3 Pr 3.61-3.65
Pr  0.9215  0.4609  0.6961  4 Y 3.57-3.61, 3 Ho 3.61-3.65, 5 Pr 3.63-3.67
Pr  0.3824  0.6961  0.5391  4 Y 3.57-3.61, 3 Ho 3.61-3.65, 5 Pr 3.63-3.67
Pr  0.6176  0.3039  0.4609  4 Y 3.57-3.61, 3 Ho 3.61-3.65, 5 Pr 3.63-3.67
Pr  0.0785  0.5391  0.3039  4 Y 3.57-3.61, 3 Ho 3.61-3.65, 5 Pr 3.63-3.67

Calculated values
- formation energy from the elements (kJ/mol of formula units) = 28
- crystal system = tetragonal

***

Record 3
First-principles (PBE) data for a geometry-optimized NiIrSe2 structure, as listed in Alexandria via LeMat-Bulk.

a = 3.0084 Å, b = 3.0084 Å, c = 8.2796 Å
α = 90.00°, β = 90.00°, γ = 121.27°
With the nearest neighbours (Å) after each atom.
Element x y z (fractional)
Se  0.0000  0.0000  0.9872  2 Ni 2.46, 2 Ir 2.63
Se  0.0000  0.0000  0.5128  2 Ni 2.46, 2 Ir 2.63
Ni  0.5000  0.5000  0.7500  4 Se 2.46
Ir  0.5000  0.5000  0.2500  4 Se 2.63

Calculated values
- ΔE_f (raw) (eV per atom) = 0.519
- crystal system = orthorhombic

***

Record 4
First-principles (PBE) data for a geometry-optimized Cs8BiS2 structure, as listed in Alexandria via LeMat-Bulk.

a = 6.9450 Å, b = 9.6867 Å, c = 9.6867 Å
α = 110.84°, β = 96.59°, γ = 96.59°
With the nearest neighbours (Å) after each atom.
Element x y z (fractional)
Cs  0.9302  0.9518  0.6796  2 S 3.50-3.68
Cs  0.0698  0.3204  0.0482  2 S 3.50-3.68
Cs  0.9302  0.6796  0.9518  2 S 3.50-3.68
Cs  0.5000  0.2486  0.7514  2 S 3.64, 1 Bi 3.96
Cs  0.2730  0.6250  0.6250  2 S 3.60
Cs  0.5000  0.7514  0.2486  2 S 3.64, 1 Bi 3.96
Cs  0.0698  0.0482  0.3204  2 S 3.50-3.68
Cs  0.7270  0.3750  0.3750  2 S 3.60
S  0.0000  0.3169  0.6831  8 Cs 3.50-3.68
S  0.0000  0.6831  0.3169  8 Cs 3.50-3.68
Bi  0.5000  0.0000  0.0000  4 Cs 3.96-4.11

Calculated values
- ΔE_f (raw) (eV per atom) = -0.604
- crystal system = monoclinic

***

Record 5
First-principles (PBE) data for a geometry-optimized Th2MnNi3Ge4 structure, as listed in Alexandria via LeMat-Bulk.

a = 4.1858 Å, b = 4.1858 Å, c = 9.8603 Å
α = 90.00°, β = 90.00°, γ = 90.00°
With the nearest neighbours (Å) after each atom.
Element x y z (fractional)
Ni  0.0000  0.5000  0.1201  5 Ge 2.40
Ni  0.0000  0.0000  0.5000  4 Ge 2.49
Ni  0.5000  0.0000  0.8799  5 Ge 2.40
Ge  0.0000  0.5000  0.3633  3 Ni 2.40-2.49, 2 Mn 2.49
Ge  0.5000  0.5000  0.0000  4 Ni 2.40
Ge  0.0000  0.0000  0.0000  4 Ni 2.40
Ge  0.5000  0.0000  0.6367  3 Ni 2.40-2.49, 2 Mn 2.49
Th  0.0000  0.5000  0.7534  8 Ge 3.18-3.21, 6 Ni 3.21-3.26, 2 Mn 3.26
Th  0.5000  0.0000  0.2466  8 Ge 3.18-3.21, 6 Ni 3.21-3.26, 2 Mn 3.26
Mn  0.5000  0.5000  0.5000  4 Ge 2.49

Calculated values
- formation energy from the elements (kJ/mol of formula units) = -634
- crystal system = tetragonal

***

Record 6
First-principles (PBE) data for a geometry-optimized Mg2Ga3Pd3 structure, as listed in Alexandria via LeMat-Bulk.

a = 2.8737 Å, b = 7.3533 Å, c = 7.3533 Å
α = 120.00°, β = 90.00°, γ = 90.00°
With the nearest neighbours (Å) after each atom.
Element x y z (fractional)
Ga  0.0000  0.7487  0.0000  4 Pd 2.63, 2 Mg 2.80, 2 Ga 2.87
Ga  0.0000  0.0000  0.7487  4 Pd 2.63, 2 Mg 2.80, 2 Ga 2.87
Ga  0.0000  0.2513  0.2513  4 Pd 2.63, 2 Mg 2.80, 2 Ga 2.87
Pd  0.5000  0.0000  0.3319  4 Ga 2.63, 4 Mg 2.85, 2 Pd 2.87
Pd  0.5000  0.3319  0.0000  4 Ga 2.63, 4 Mg 2.85, 2 Pd 2.87
Pd  0.5000  0.6681  0.6681  4 Ga 2.63, 4 Mg 2.85, 2 Pd 2.87
Mg  0.0000  0.6667  0.3333  3 Ga 2.80, 6 Pd 2.85, 2 Mg 2.87
Mg  0.0000  0.3333  0.6667  3 Ga 2.80, 6 Pd 2.85, 2 Mg 2.87

Calculated values
- formation energy from the elements (kJ/mol of formula units) = -367
- crystal system = hexagonal

***

Record 7
First-principles (PBE) data for a geometry-optimized TeIr2Ru structure, as listed in Alexandria via LeMat-Bulk.

a = 2.9350 Å, b = 2.9350 Å, c = 7.6638 Å
α = 90.00°, β = 90.00°, γ = 90.00°
With the nearest neighbours (Å) after each atom.
Element x y z (fractional)
Ir  0.0000  0.0000  0.0206  8 Ir 2.75-2.94, 4 Te 2.97
Ir  0.5000  0.5000  0.2559  4 Ru 2.70, 8 Ir 2.75-2.94
Ru  0.0000  0.0000  0.4810  4 Ir 2.70, 4 Te 2.89, 4 Ru 2.94
Te  0.5000  0.5000  0.7425  4 Ru 2.89, 4 Te 2.94, 4 Ir 2.97

Calculated values
- ΔE_f (raw) (eV per atom) = 0.478
- crystal system = tetragonal

***

Record 8
First-principles (PBE) data for a geometry-optimized Tl3RhI structure, as listed in Alexandria via LeMat-Bulk.

a = 4.0068 Å, b = 9.3381 Å, c = 9.3381 Å
α = 139.10°, β = 90.00°, γ = 90.00°
With the nearest neighbours (Å) after each atom.
Element x y z (fractional)
Tl  0.0000  0.2503  0.7497  1 Rh 2.64
Tl  0.5000  0.6982  0.8322  2 Rh 2.71
Tl  0.5000  0.1678  0.3018  2 Rh 2.71
Rh  0.0000  0.4012  0.5988  5 Tl 2.64-2.71
I  0.5000  0.1105  0.8895  4 Tl 3.16-3.46

Calculated values
- ΔE_f (raw) (eV per atom) = 0.109
- excess energy over the best structure of this formula in the dataset (kJ/mol of atoms) = 36.1
- crystal system = orthorhombic

***

Number 1: E_tot -6.1 eV for the cell shown, magnetic moment 0.00 μB per atom, DOS at the Fermi energy 1.6 states/eV per cell. Number 2: E_tot -67.6 eV for the cell shown, magnetic moment 0.00 μB per atom, DOS at the Fermi energy 19.0 states/eV per cell. Number 3: E_tot -19.5 eV for the cell shown, magnetic moment 0.00 μB per atom, DOS at the Fermi energy 3.2 states/eV per cell. Number 4: E_tot -25.6 eV for the cell shown, magnetic moment 0.00 μB per atom, DOS at the Fermi energy 3.2 states/eV per cell. Number 5: E_tot -66.4 eV for the cell shown, magnetic moment 0.35 μB per atom, DOS at the Fermi energy 3.9 states/eV per cell. Number 6: E_tot -31.7 eV for the cell shown, magnetic moment 0.00 μB per atom, DOS at the Fermi energy 3.2 states/eV per cell. Number 7: E_tot -28.2 eV for the cell shown, magnetic moment 0.00 μB per atom, DOS at the Fermi energy 4.4 states/eV per cell. Number 8: E_tot -15.5 eV for the cell shown, magnetic moment 0.00 μB per atom, DOS at the Fermi energy 1.9 states/eV per cell.